Entry 1:
CeMgCdAu | PBE | optimized geometry

```
CeMgCdAu
1.0
0.000 3.592 3.592
3.592 0.000 3.592
3.592 3.592 0.000
Ce Mg Cd Au
1 1 1 1
Cartesian
0.000 0.000 0.000
3.592 3.592 3.592
5.388 5.388 5.388
1.796 1.796 1.796
```

Output
Symmetry: F-43m, No. 216



Entry 2:
NaCeCdAu | PBE | optimized geometry

```
NaCeCdAu
1.0
0.000 3.676 3.676
3.676 0.000 3.676
3.676 3.676 0.000
Na Ce Cd Au
1 1 1 1
Cartesian
0.000 0.000 0.000
3.676 3.676 3.676
5.514 5.514 5.514
1.838 1.838 1.838
```

Output
Symmetry: F-43m, No. 216



no.,E (eV/atom),M_tot (μB/f.u.)
1,-3.362,0.79
2,-3.124,1.10